PaNiSbO6 | the Alexandria database | PBE with a Hubbard U | optimized geometry; raw total energy = -127.95 eV per cell; Fermi-level density of states = 0.0000 states/eV per atom
1.0
-1.4014 5.1428 1.3392
-1.2868 -1.9968 -4.9561
-7.7581 -2.9479 3.2020
Ni O Sb Pa
2 12 2 2
direct
0.0000 0.0000 0.5000 Ni
0.0000 0.0000 0.0000 Ni
0.3518 0.0246 0.1288 O
0.0246 0.3518 0.6288 O
0.6482 0.9754 0.8712 O
0.3272 0.9754 0.6288 O
0.6728 0.0246 0.3712 O
0.9754 0.3272 0.1288 O
0.3272 0.3518 0.8712 O
0.6728 0.6482 0.1288 O
0.0246 0.6728 0.8712 O
0.6482 0.6728 0.6288 O
0.3518 0.3272 0.3712 O
0.9754 0.6482 0.3712 O
0.6667 0.3333 0.2500 Sb
0.3333 0.6667 0.7500 Sb
0.6667 0.3333 0.7500 Pa
0.3333 0.6667 0.2500 Pa